Record 1
First-principles (SCAN) data for a crystal of SrAsAu2 relaxed with PBEsol, as listed in Alexandria.

```
SrAsAu2
1.0
4.079 -2.203 0.000
4.079 2.203 0.000
-2.429 0.000 5.102
Sr As Au
1 1 2
Direct
0.000 0.000 0.000
0.221 0.221 0.622
0.524 0.524 0.557
0.785 0.785 0.350
```

Output
- formation enthalpy at 0 K (eV/atom) = -0.603
- symmetry = No. 8
- E_tot (eV/cell) = -183.19



Record 2
First-principles (SCAN) data for a crystal of Cd2CoHg relaxed with PBEsol, as listed in Alexandria.

```
Cd2CoHg
1.0
4.824 0.000 0.000
0.000 3.085 0.000
-1.439 0.000 4.707
Cd Co Hg
2 1 1
Direct
0.000 0.000 0.000
0.500 0.500 0.000
0.000 0.500 0.500
0.500 0.000 0.500
```

Output
- formation enthalpy at 0 K (eV/atom) = 0.270
- symmetry = No. 10
- E_tot (eV/cell) = -145.22



Record 3
First-principles (SCAN) data for a crystal of Li2Sm2Ge3 relaxed with PBEsol, as listed in Alexandria.

```
Li2Sm2Ge3
1.0
2.169 -9.177 0.000
2.169 9.177 0.000
0.000 0.000 6.790
Li Sm Ge
4 4 6
Direct
0.191 0.809 0.562
0.191 0.809 0.938
0.809 0.191 0.062
0.809 0.191 0.438
0.343 0.657 0.750
0.448 0.552 0.250
0.552 0.448 0.750
0.657 0.343 0.250
0.063 0.937 0.065
0.063 0.937 0.435
0.280 0.720 0.250
0.720 0.280 0.750
0.937 0.063 0.565
0.937 0.063 0.935
```

Output
- formation enthalpy at 0 K (eV/atom) = -0.764
- symmetry = No. 63
- E_tot (eV/cell) = -312.55



Record 4
First-principles (SCAN) data for a crystal of OsSF2 relaxed with PBEsol, as listed in Alexandria.

```
OsSF2
1.0
0.000 2.882 2.882
2.882 0.000 2.882
2.882 2.882 0.000
Os S F
1 1 2
Direct
0.000 0.000 0.000
0.500 0.500 0.500
0.250 0.250 0.250
0.750 0.750 0.750
```

Output
- symmetry = No. 225
- E_tot (eV/cell) = -86.53
- energy relative to the elements, uncorrected (eV/atom) = 0.515



Record 5
First-principles (SCAN) data for a crystal of AlSbMo2 relaxed with PBEsol, as listed in Alexandria.

```
AlSbMo2
1.0
4.462 0.000 0.000
0.000 4.462 0.000
0.000 0.000 3.270
Al Sb Mo
1 1 2
Direct
0.000 0.000 0.000
0.500 0.500 0.000
0.000 0.500 0.500
0.500 0.000 0.500
```

Output
- symmetry = No. 123
- E_tot (eV/cell) = -113.85
- energy relative to the elements, uncorrected (eV/atom) = 0.234
- ΔE to the lowest computed polymorph (eV per atom) = 0.033



Record 6
First-principles (SCAN) data for a crystal of Mg2TlCoCu relaxed with PBEsol, as listed in Alexandria.

```
Mg2TlCoCu
1.0
4.780 0.000 0.000
0.000 4.780 0.000
0.000 0.000 4.444
Mg Tl Co Cu
2 1 1 1
Direct
0.000 0.500 0.000
0.500 0.000 0.000
0.000 0.000 0.500
0.500 0.500 0.000
0.500 0.500 0.500
```

Output
- formation enthalpy at 0 K (eV/atom) = 0.460
- symmetry = No. 123
- E_tot (eV/cell) = -112.51